Computed, not measured: a relaxed structure of AcEuCdHg at the PBE-GGA level of DFT.

The calculation puts the total magnetization at 27.9 μB/cell. The energy of formation comes out at -0.433 eV per atom. For the total DFT energy (no corrections), the calculation gives -69.3 eV for the cell shown.

It has space group F-43m (No. 216), with a = 7.989 Å, b = 7.989 Å, c = 7.989 Å, α = 90.00°, β = 90.00° and γ = 90.00°. The inequivalent atoms are Ac at (0.000, 0.000, 0.000), Eu at (0.000, 0.000, 0.500), Cd at (0.250, 0.250, 0.250) and Hg at (0.250, 0.250, 0.750).


Computed, not measured: a relaxed structure of AcEuHoCd at the PBE-GGA level of DFT.

The calculation puts the total magnetization at 29.4 μB/cell. The energy of formation comes out at 0.074 eV per atom. For the total DFT energy (no corrections), the calculation gives -78.3 eV for the cell shown.

It has space group F-43m (No. 216), with a = 8.120 Å, b = 8.120 Å, c = 8.120 Å, α = 90.00°, β = 90.00° and γ = 90.00°. The inequivalent atoms are Ac at (0.000, 0.000, 0.000), Eu at (0.250, 0.250, 0.250), Ho at (0.250, 0.250, 0.750) and Cd at (0.000, 0.000, 0.500).


Computed, not measured: a relaxed structure of AcEuCdIn at the PBE-GGA level of DFT.

The calculation puts the total magnetization at 29.3 μB/cell. The energy of formation comes out at -0.403 eV per atom. For the total DFT energy (no corrections), the calculation gives -78.6 eV for the cell shown.

It has space group F-43m (No. 216), with a = 8.066 Å, b = 8.066 Å, c = 8.066 Å, α = 90.00°, β = 90.00° and γ = 90.00°. The inequivalent atoms are Ac at (0.000, 0.000, 0.000), Eu at (0.000, 0.000, 0.500), Cd at (0.250, 0.250, 0.750) and In at (0.250, 0.250, 0.250).


Computed, not measured: a relaxed structure of AcLaEuCd at the PBE-GGA level of DFT.

The calculation puts the total magnetization at 31.8 μB/cell. The energy of formation comes out at 0.031 eV per atom. For the total DFT energy (no corrections), the calculation gives -80.4 eV for the cell shown.

It has space group F-43m (No. 216), with a = 8.278 Å, b = 8.278 Å, c = 8.278 Å, α = 90.00°, β = 90.00° and γ = 90.00°. The inequivalent atoms are Ac at (0.000, 0.000, 0.000), La at (0.250, 0.250, 0.750), Eu at (0.250, 0.250, 0.250) and Cd at (0.000, 0.000, 0.500).


Computed, not measured: a relaxed structure of LiAcEuCd at the PBE-GGA level of DFT.

The calculation puts the total magnetization at 29.1 μB/cell. The energy of formation comes out at -0.135 eV per atom. For the total DFT energy (no corrections), the calculation gives -71.0 eV for the cell shown.

It has space group F-43m (No. 216), with a = 8.037 Å, b = 8.037 Å, c = 8.037 Å, α = 90.00°, β = 90.00° and γ = 90.00°. The inequivalent atoms are Li at (0.000, 0.000, 0.000), Ac at (0.250, 0.250, 0.750), Eu at (0.250, 0.250, 0.250) and Cd at (0.000, 0.000, 0.500).


Computed, not measured: a relaxed structure of AcEuMgCd at the PBE-GGA level of DFT.

The calculation puts the total magnetization at 28.5 μB/cell. The energy of formation comes out at -0.202 eV per atom. For the total DFT energy (no corrections), the calculation gives -70.8 eV for the cell shown.

It has space group F-43m (No. 216), with a = 8.085 Å, b = 8.085 Å, c = 8.085 Å, α = 90.00°, β = 90.00° and γ = 90.00°. The inequivalent atoms are Ac at (0.000, 0.000, 0.000), Eu at (0.000, 0.000, 0.500), Mg at (0.250, 0.250, 0.750) and Cd at (0.250, 0.250, 0.250).


Among the records above, which one has the lowest total DFT energy (no corrections)?
AcLaEuCd


Which of these has the highest energy of formation?
AcEuHoCd


Which of these has the highest total magnetization?
AcLaEuCd